# 1
Material: Hf3VPb
Method: DFT, GGA-PBE
State: optimized geometry

Cell: 4.911 4.911 4.911 Å, 90.00 90.00 90.00°
Space group Pm-3m (No. 221)
One atom of each set of equivalent atoms:
Hf 0.000 0.000 0.500 [3 per cell]
V 0.000 0.000 0.000 [1 per cell]
Pb 0.500 0.500 0.500 [1 per cell]

## Properties
The volume is 23.7 Å³ per atom. For the relative energy among the computed polymorphs, the calculation gives 0 meV/atom. The calculation puts the energy of formation from the pure elements at 0.643 eV per atom. The density of states at the Fermi level is 1.39 states/eV/atom. As for the calculated total energy: -7.8940 eV/atom.

# 2
Material: Tc2MoAs
Method: DFT, GGA-PBE
State: optimized geometry

Cell: 3.037 4.671 8.668 Å, 90.00 90.00 90.00°
Space group Cmm2 (No. 35)
One atom of each set of equivalent atoms:
Tc 0.000 0.000 0.000 [2 per cell]
Tc 0.000 0.500 0.252 [2 per cell]
Mo 0.000 0.500 0.747 [2 per cell]
As 0.000 0.000 0.495 [2 per cell]

## Properties
The volume is 15.4 Å³ per atom. The calculation puts the energy of formation from the pure elements at 0.351 eV per atom. The density of states at the Fermi level is 1.50 states/eV/atom. As for the calculated total energy: -8.7017 eV/atom.

# 3
Material: Pm7PrDy4
Method: DFT, GGA-PBE
State: optimized geometry

Cell: 6.318 7.298 8.996 Å, 90.00 103.53 90.02°
Space group P-1 (No. 2)
One atom of each set of equivalent atoms:
Pm 0.000 0.000 0.000 [1 per cell]
Pm 0.223 0.500 0.665 [2 per cell]
Pm 0.280 0.248 0.336 [2 per cell]
Pm 0.500 0.247 0.999 [2 per cell]
Pr 0.000 0.500 0.000 [1 per cell]
Dy 0.219 0.000 0.665 [2 per cell]
Dy 0.278 0.753 0.334 [2 per cell]

## Properties
The volume is 33.6 Å³ per atom. For the relative energy among the computed polymorphs, the calculation gives 0 meV/atom. The calculation puts the energy of formation from the pure elements at 0.002 eV per atom. The density of states at the Fermi level is 1.27 states/eV/atom. As for the calculated total energy: -4.7017 eV/atom.

# 4
Material: Ti4BeZn
Method: DFT, GGA-PBE
State: optimized geometry

Cell: 7.113 4.090 7.403 Å, 90.00 108.63 90.00°
Space group C2/m (No. 12)
One atom of each set of equivalent atoms:
Ti 0.116 0.000 0.345 [4 per cell]
Ti 0.131 0.500 0.892 [4 per cell]
Be 0.000 0.000 0.000 [2 per cell]
Zn 0.000 0.500 0.500 [2 per cell]

## Properties
The volume is 17.0 Å³ per atom. The calculation puts the energy of formation from the pure elements at 0.324 eV per atom. The density of states at the Fermi level is 1.46 states/eV/atom. As for the calculated total energy: -5.7731 eV/atom.

# 5
Material: KCdOs
Method: DFT, GGA-PBE
State: optimized geometry

Cell: 2.8857 2.8857 8.4356 Å, 90.00 90.00 120.00°
Space group P3m1 (No. 156)
One atom of each set of equivalent atoms:
K 0.0000 0.0000 0.0000 [1 per cell]
Cd 0.3333 0.6667 0.6215 [1 per cell]
Os 0.6667 0.3333 0.3307 [1 per cell]

## Properties
The volume is 20.3 Å³ per atom. For the relative energy among the computed polymorphs, the calculation gives 51 meV/atom. The calculation puts the energy of formation from the pure elements at 0.913 eV per atom. The density of states at the Fermi level is 0.77 states/eV/atom. As for the calculated total energy: -3.5015 eV/atom.

# 6
Material: Y5US6
Method: DFT, GGA-PBE
State: optimized geometry

Cell: 6.781 11.728 6.790 Å, 90.00 109.62 90.00°
Space group C2/m (No. 12)
One atom of each set of equivalent atoms:
Y 0.000 0.000 0.000 [2 per cell]
Y 0.000 0.168 0.500 [4 per cell]
Y 0.000 0.329 0.000 [4 per cell]
U 0.000 0.500 0.500 [2 per cell]
S 0.249 0.334 0.749 [8 per cell]
S 0.249 0.500 0.248 [4 per cell]

## Properties
The volume is 21.2 Å³ per atom. The value obtained for the formation energy (no corrections) is -1875.4 meV per atom. The density of states at the Fermi level is 0.97 states/eV/atom. As for the calculated total energy: -7.5732 eV/atom.

# 7
Material: SmSbPd4
Method: DFT, GGA-PBE
State: optimized geometry

Cell: 5.395 5.395 9.169 Å, 90.00 90.00 90.00°
Space group P4_2/nmc (No. 137, origin choice 2)
One atom of each set of equivalent atoms:
Sm 0.250 0.750 0.250 [2 per cell]
Sb 0.250 0.750 0.750 [2 per cell]
Pd 0.013 0.250 0.018 [8 per cell]

## Properties
The volume is 22.2 Å³ per atom. For the relative energy among the computed polymorphs, the calculation gives 267 meV/atom. The value obtained for the formation energy (no corrections) is -287.3 meV per atom. The density of states at the Fermi level is 0.53 states/eV/atom. As for the calculated total energy: -5.2228 eV/atom.

# 8
Material: Tc2SbCl
Method: DFT, GGA-PBE
State: optimized geometry

Cell: 3.0437 3.0437 30.4079 Å, 90.00 90.00 120.00°
Space group R3m (No. 160, hexagonal axes)
One atom of each set of equivalent atoms:
Tc 0.0000 0.0000 0.0000 [3 per cell]
Tc 0.0000 0.0000 0.2661 [3 per cell]
Sb 0.0000 0.0000 0.5279 [3 per cell]
Cl 0.0000 0.0000 0.7260 [3 per cell]

## Properties
The volume is 20.3 Å³ per atom. For the relative energy among the computed polymorphs, the calculation gives 242 meV/atom. The value obtained for the formation energy (no corrections) is 152.2 meV per atom. The density of states at the Fermi level is 1.03 states/eV/atom. As for the calculated total energy: -6.5231 eV/atom.